Material: LaCuS2O8
Method: DFT, GGA-PBE
State: optimized geometry

abc: 5.205 5.205 7.154
angles: 90.00 90.00 120.00
Positions (direct):
La: 0.000 0.000 0.000
Cu: 0.000 0.000 0.500
S: 0.333 0.667 0.214
S: 0.667 0.333 0.786
O: 0.176 0.353 0.278
O: 0.176 0.824 0.278
O: 0.333 0.667 0.003
O: 0.353 0.176 0.722
O: 0.647 0.824 0.278
O: 0.667 0.333 0.997
O: 0.824 0.176 0.722
O: 0.824 0.647 0.722

Computed properties:
- E_tot (eV/atom) = -6.461
- symmetry = P-3m1, No. 164
- formation energy from raw total energies (eV/atom) = -1.72
- M_tot (μB per formula unit) = 0.11